1.
A plane-wave DFT calculation with PBE was carried out for TmFe2GeP after structural relaxation.

The structure in CIF format:
```
data_TmFe2GeP
_chemical_formula_sum 'Tm2 Fe4 Ge2 P2'
_cell_length_a 3.9027
_cell_length_b 3.9027
_cell_length_c 9.5904
_cell_angle_alpha 90.00
_cell_angle_beta 90.00
_cell_angle_gamma 90.00
_space_group_name_H-M_alt 'I 4 m m'
_space_group_IT_number 107
_space_group_name_Hall 'I 4 -2'
loop_
_atom_site_label
_atom_site_type_symbol
_atom_site_fract_x
_atom_site_fract_y
_atom_site_fract_z
_atom_site_occupancy
Tm1 Tm 0.0000 0.0000 0.0000 1
Fe1 Fe 0.0000 0.5000 0.2609 1
Ge1 Ge 0.0000 0.0000 0.6275 1
P1 P 0.0000 0.0000 0.3651 1
```

***

2.
A plane-wave DFT calculation with PBE was carried out for PaFeGe after structural relaxation.

The structure in CIF format:
```
data_PaFeGe
_chemical_formula_sum 'Pa4 Fe4 Ge4'
_cell_length_a 6.3994
_cell_length_b 6.3994
_cell_length_c 6.3994
_cell_angle_alpha 90.00
_cell_angle_beta 90.00
_cell_angle_gamma 90.00
_space_group_name_H-M_alt 'F -4 3 m'
_space_group_IT_number 216
_space_group_name_Hall 'F -4 2 3'
loop_
_atom_site_label
_atom_site_type_symbol
_atom_site_fract_x
_atom_site_fract_y
_atom_site_fract_z
_atom_site_occupancy
Pa1 Pa 0.0000 0.0000 0.0000 1
Fe1 Fe 0.2500 0.2500 0.7500 1
Ge1 Ge 0.2500 0.2500 0.2500 1
```

***

3.
A plane-wave DFT calculation with PBE was carried out for PaFe6Ge after structural relaxation.

The structure in CIF format:
```
data_PaFe6Ge
_chemical_formula_sum 'Pa3 Fe18 Ge3'
_cell_length_a 6.7746
_cell_length_b 6.7746
_cell_length_c 8.0025
_cell_angle_alpha 90.00
_cell_angle_beta 90.00
_cell_angle_gamma 120.00
_space_group_name_H-M_alt 'R -3'
_space_group_IT_number 148
_space_group_name_Hall '-R 3'
loop_
_atom_site_label
_atom_site_type_symbol
_atom_site_fract_x
_atom_site_fract_y
_atom_site_fract_z
_atom_site_occupancy
Pa1 Pa 0.0000 0.0000 0.0000 1
Fe1 Fe 0.0030 0.2599 0.2547 1
Ge1 Ge 0.0000 0.0000 0.5000 1
```

***

4.
A plane-wave DFT calculation with PBE was carried out for PaFeGe after structural relaxation.

The structure in CIF format:
```
data_PaFeGe
_chemical_formula_sum 'Pa4 Fe4 Ge4'
_cell_length_a 6.1190
_cell_length_b 6.1190
_cell_length_c 6.1190
_cell_angle_alpha 90.00
_cell_angle_beta 90.00
_cell_angle_gamma 90.00
_space_group_name_H-M_alt 'F -4 3 m'
_space_group_IT_number 216
_space_group_name_Hall 'F -4 2 3'
loop_
_atom_site_label
_atom_site_type_symbol
_atom_site_fract_x
_atom_site_fract_y
_atom_site_fract_z
_atom_site_occupancy
Pa1 Pa 0.0000 0.0000 0.0000 1
Fe1 Fe 0.2500 0.2500 0.7500 1
Ge1 Ge 0.0000 0.0000 0.5000 1
```

***

5.
A plane-wave DFT calculation with PBE was carried out for FeGe2Pb after structural relaxation.

The structure in CIF format:
```
data_FeGe2Pb
_chemical_formula_sum 'Fe4 Ge8 Pb4'
_cell_length_a 6.6770
_cell_length_b 6.6770
_cell_length_c 6.6770
_cell_angle_alpha 90.00
_cell_angle_beta 90.00
_cell_angle_gamma 90.00
_space_group_name_H-M_alt 'F -4 3 m'
_space_group_IT_number 216
_space_group_name_Hall 'F -4 2 3'
loop_
_atom_site_label
_atom_site_type_symbol
_atom_site_fract_x
_atom_site_fract_y
_atom_site_fract_z
_atom_site_occupancy
Fe1 Fe 0.0000 0.0000 0.0000 1
Ge1 Ge 0.0000 0.0000 0.5000 1
Ge2 Ge 0.2500 0.2500 0.2500 1
Pb1 Pb 0.2500 0.2500 0.7500 1
```

***

6.
A plane-wave DFT calculation with PBE was carried out for FeGePb2 after structural relaxation.

The structure in CIF format:
```
data_FeGePb2
_chemical_formula_sum 'Fe4 Ge4 Pb8'
_cell_length_a 7.0647
_cell_length_b 7.0647
_cell_length_c 7.0647
_cell_angle_alpha 90.00
_cell_angle_beta 90.00
_cell_angle_gamma 90.00
_space_group_name_H-M_alt 'F -4 3 m'
_space_group_IT_number 216
_space_group_name_Hall 'F -4 2 3'
loop_
_atom_site_label
_atom_site_type_symbol
_atom_site_fract_x
_atom_site_fract_y
_atom_site_fract_z
_atom_site_occupancy
Fe1 Fe 0.0000 0.0000 0.0000 1
Ge1 Ge 0.2500 0.2500 0.7500 1
Pb1 Pb 0.0000 0.0000 0.5000 1
Pb2 Pb 0.2500 0.2500 0.2500 1
```

***

Number 1: uncorrected energy -6.977 eV/atom. Number 2: uncorrected energy -6.874 eV/atom. Number 3: uncorrected energy -7.929 eV/atom. Number 4: uncorrected energy -7.837 eV/atom. Number 5: uncorrected energy -4.692 eV/atom. Number 6: uncorrected energy -4.426 eV/atom.